[1]
Material: ZrNiIr
Method: DFT, PBE-GGA
State: relaxed

Properties
Size of the total moment = 0.01 Bohr magnetons per cell
SG = P6_3/mmc, No. 194
Total DFT energy (no corrections) = -8.323 eV per atom
Volume = 91.75 Å³/cell
Calculated formation energy = -0.6667 eV/atom

Unit cell a=4.390 b=4.390 c=5.500 alpha=90.00 beta=90.00 gamma=120.04
Sites, in units of the cell vectors:
Ir 0.000 0.000 0.000
Ir 0.000 0.000 0.500
Zr 0.667 0.333 0.750
Zr 0.333 0.667 0.250
Ni 0.334 0.666 0.750
Ni 0.666 0.334 0.250



[2]
Material: SmHfPO
Method: DFT, PBE-GGA
State: relaxed

Properties
Size of the total moment = 0.02 Bohr magnetons per cell
SG = P4/nmm, No. 129
Total DFT energy (no corrections) = -8.237 eV per atom
Offset from the most stable computed form = 0 meV/atom
Volume = 150.30 Å³/cell

Unit cell a=4.170 b=4.170 c=8.642 alpha=90.00 beta=90.00 gamma=90.00
Sites, in units of the cell vectors:
P 0.250 0.250 0.678
P 0.750 0.750 0.322
Hf 0.750 0.250 0.500
Hf 0.250 0.750 0.500
O 0.250 0.750 0.000
O 0.750 0.250 0.000
Sm 0.750 0.750 0.877
Sm 0.250 0.250 0.123



[3]
Material: Hf2As2Pd
Method: DFT, PBE-GGA
State: relaxed

Properties
Size of the total moment = 0.43 Bohr magnetons per cell
SG = I4/mmm, No. 139
Total DFT energy (no corrections) = -7.179 eV per atom
Volume = 95.01 Å³/cell

Unit cell a=7.196 b=7.196 c=7.196 alpha=149.63 beta=149.63 gamma=43.49
Sites, in units of the cell vectors:
Pd 0.000 0.000 0.000
Hf 0.396 0.396 0.000
Hf 0.604 0.604 0.000
As 0.250 0.750 0.500
As 0.750 0.250 0.500



[4]
Material: LaTcTe2
Method: DFT, PBE-GGA
State: relaxed

Properties
Size of the total moment = 0.28 Bohr magnetons per cell
SG = Amm2, No. 38
Total DFT energy (no corrections) = -5.300 eV per atom
Volume = 105.41 Å³/cell

Unit cell a=9.883 b=3.266 c=3.266 alpha=89.97 beta=90.00 gamma=90.00
Sites, in units of the cell vectors:
Te 0.670 0.000 0.000
Te 0.330 0.000 0.000
La 0.000 0.999 0.999
Tc 0.500 0.500 0.500



Among the records above, which one has the highest volume? SmHfPO



What did the second record say?
Material: SmHfPO
Method: DFT, PBE-GGA
State: relaxed

Properties
Size of the total moment = 0.02 Bohr magnetons per cell
SG = P4/nmm, No. 129
Total DFT energy (no corrections) = -8.237 eV per atom
Offset from the most stable computed form = 0 meV/atom
Volume = 150.30 Å³/cell

Unit cell a=4.170 b=4.170 c=8.642 alpha=90.00 beta=90.00 gamma=90.00
Sites, in units of the cell vectors:
P 0.250 0.250 0.678
P 0.750 0.750 0.322
Hf 0.750 0.250 0.500
Hf 0.250 0.750 0.500
O 0.250 0.750 0.000
O 0.750 0.250 0.000
Sm 0.750 0.750 0.877
Sm 0.250 0.250 0.123